Record 1
Compound: Pu2AsSe
Source: Alexandria
Functional: PBE-GGA
Structure: relaxed

Results
Its uncorrected formation energy is -1.307 eV/atom. As for the crystal system: tetragonal. The value obtained for the energy above the most stable polymorph in this dataset is 0 meV per atom.

Cell: 7.205 7.205 7.205 Å, 131.87 131.87 70.44°
Fractional positions:
Pu 0.123 0.373 0.750
Pu 0.373 0.123 0.250
Pu 0.627 0.877 0.750
Pu 0.877 0.627 0.250
As 0.125 0.875 0.250
As 0.875 0.125 0.750
Se 0.375 0.625 0.750
Se 0.625 0.375 0.250



Record 2
Compound: ZrHgAu
Source: Alexandria
Functional: PBE-GGA
Structure: relaxed

Results
For the formation energy, the calculation gives -124.4 meV per atom. As for the crystal system: orthorhombic.

Cell: 3.403 6.248 6.248 Å, 30.61 90.00 90.00°
Fractional positions:
Zr 0.000 0.000 0.000
Hg 0.000 0.704 0.704
Au 0.500 0.369 0.369



Record 3
Compound: Tc2AsAu
Source: Alexandria
Functional: PBE-GGA
Structure: relaxed

Results
For the formation energy, the calculation gives 110.2 meV per atom. As for the crystal system: tetragonal.

Cell: 2.878 2.878 8.099 Å, 90.00 90.00 90.00°
Fractional positions:
Tc 0.000 0.000 0.000
Tc 0.500 0.500 0.204
As 0.000 0.000 0.421
Au 0.500 0.500 0.743



Record 4
Compound: Ac3LaTb2Te6
Source: Alexandria
Functional: PBE-GGA
Structure: relaxed

Results
Its uncorrected formation energy is -1.441 eV/atom. As for the crystal system: monoclinic.

Cell: 10.331 10.331 9.322 Å, 104.90 104.90 25.27°
Fractional positions:
Ac 0.000 0.000 0.000
Ac 0.337 0.337 0.670
Ac 0.663 0.663 0.330
La 0.000 0.000 0.500
Tb 0.333 0.333 0.168
Tb 0.667 0.667 0.832
Te 0.167 0.167 0.599
Te 0.173 0.173 0.068
Te 0.492 0.492 0.253
Te 0.508 0.508 0.747
Te 0.827 0.827 0.932
Te 0.833 0.833 0.401



Record 5
Compound: CaBe2Si
Source: Alexandria
Functional: PBE-GGA
Structure: relaxed

Results
Its uncorrected formation energy is 0.429 eV/atom. As for the crystal system: tetragonal.

Cell: 4.429 4.429 4.429 Å, 120.83 120.83 88.57°
Fractional positions:
Ca 0.000 0.000 0.000
Be 0.500 0.500 0.000
Be 0.750 0.250 0.500
Si 0.250 0.750 0.500



Record 6
Compound: CaNdDy2
Source: Alexandria
Functional: PBE-GGA
Structure: relaxed

Results
For the formation energy, the calculation gives 74.0 meV per atom. As for the crystal system: hexagonal. The value obtained for the energy above the most stable polymorph in this dataset is 12 meV per atom.

Cell: 3.667 3.667 11.950 Å, 90.00 90.00 120.00°
Fractional positions:
Ca 0.000 0.000 0.000
Nd 0.000 0.000 0.500
Dy 0.667 0.333 0.259
Dy 0.667 0.333 0.741